a.
Entry from Alexandria: a relaxed structure of FeCo2Re (PBE-GGA).

Calculated values
* space group: Fm-3m

The structure in POSCAR format:
```
FeCo2Re
1.0
0.0000 2.8583 2.8583
2.8583 0.0000 2.8583
2.8583 2.8583 0.0000
Fe Co Re
1 2 1
direct
0.0000 0.0000 0.0000
0.2500 0.2500 0.2500
0.7500 0.7500 0.7500
0.5000 0.5000 0.5000
```



b.
Entry from Alexandria: a relaxed structure of FeCo2Re (PBE-GGA).

Calculated values
* space group: P4mm

The structure in POSCAR format:
```
FeCo2Re
1.0
-0.7821 2.2867 -0.9617
-2.1068 -1.1447 -1.0083
-3.5813 1.3011 6.0060
Fe Co Re
1 2 1
direct
0.0000 0.0000 0.4834
0.5000 0.5000 0.2464
0.0000 0.0000 0.0152
0.5000 0.5000 0.7550
```



c.
Entry from Alexandria: a relaxed structure of FeCo2Re (PBE-GGA).

Calculated values
* space group: I-42d

The structure in POSCAR format:
```
FeCo2Re
1.0
-0.2370 0.5308 3.3979
1.6802 -2.9540 0.5786
8.0188 2.9126 1.8531
Co Fe Re
4 2 2
direct
0.8750 0.8529 0.7500
0.3750 0.3971 0.7500
0.6029 0.1250 0.2500
0.1471 0.6250 0.2500
0.5000 0.5000 0.0000
0.2500 0.7500 0.5000
0.0000 0.0000 0.0000
0.7500 0.2500 0.5000
```



b has the most favorable energy; the next structure is 0.281 eV/atom above.